## TmGaNi3 (PBE-GGA)

Data for crystalline TmGaNi3 at its relaxed geometry.

The structure in CIF format:
```
data_TmGaNi3
_cell_length_a 4.675
_cell_length_b 15.626
_cell_length_c 4.525
_cell_angle_alpha 90.00
_cell_angle_beta 90.00
_cell_angle_gamma 90.00
_space_group_name_H-M_alt 'C m c m'
_space_group_IT_number 63
_space_group_name_Hall '-C 2c 2'
loop_
_atom_site_label
_atom_site_type_symbol
_atom_site_fract_x
_atom_site_fract_y
_atom_site_fract_z
Tm1 Tm 0.000 0.086 0.250
Ga1 Ga 0.000 0.361 0.250
Ni1 Ni 0.000 0.500 0.000
Ni2 Ni 0.238 0.270 0.750
```

=====

## TmGaNi5 (PBE-GGA)

Data for crystalline TmGaNi5 at its relaxed geometry.

The structure in CIF format:
```
data_TmGaNi5
_cell_length_a 7.835
_cell_length_b 4.791
_cell_length_c 9.932
_cell_angle_alpha 90.00
_cell_angle_beta 90.00
_cell_angle_gamma 90.00
_space_group_name_H-M_alt 'P n m a'
_space_group_IT_number 62
loop_
_space_group_symop_operation_xyz
'x,y,z'
'-x,-y,-z'
'-x+1/2,-y,z+1/2'
'x+1/2,y,-z+1/2'
'x+1/2,-y+1/2,-z+1/2'
'-x+1/2,y+1/2,z+1/2'
'-x,y+1/2,-z'
'x,-y+1/2,z'
loop_
_atom_site_label
_atom_site_type_symbol
_atom_site_fract_x
_atom_site_fract_y
_atom_site_fract_z
Tm1 Tm 0.247 0.250 0.060
Ga1 Ga 0.142 0.750 0.858
Ni1 Ni 0.053 0.750 0.092
Ni2 Ni 0.065 0.005 0.306
Ni3 Ni 0.095 0.250 0.517
Ni4 Ni 0.187 0.250 0.751
```

=====

Let's list ΔE_f in order: -0.0996; -0.4098 eV/atom.
Let's list density of states at the Fermi level in order: 21.42; 29.39 states/eV per cell.
Let's list total magnetization in order: 0.00; 0.00 μB/f.u..